# NbReBi2Te | Alexandria via LeMat-Bulk | GGA-PBE | optimized geometry
# DOS(E_F)	1.036	states/eV per atom
# calculated total energy	-26.81	eV per cell
# calculated volume	29.6	Å³ per atom
# theoretical density	9.26	g/cm³
data_NbReBi2Te
_chemical_formula_sum 'Nb1 Re1 Bi2 Te1'
_cell_length_a 5.335
_cell_length_b 5.335
_cell_length_c 5.194
_cell_angle_alpha 90.00
_cell_angle_beta 90.00
_cell_angle_gamma 90.00
_symmetry_space_group_name_H-M 'P 4/m m m'
_symmetry_Int_Tables_number 123
_symmetry_space_group_name_Hall '-P 4 2'
loop_
_atom_site_label
_atom_site_type_symbol
_atom_site_fract_x
_atom_site_fract_y
_atom_site_fract_z
Nb1 Nb 0.000 0.000 0.000
Re1 Re 0.500 0.500 0.500
Bi1 Bi 0.000 0.500 0.500
Te1 Te 0.500 0.500 0.000